1.
An optimized crystal structure of ScZn2Ru, computed with PBE.

Calculated values
The volume is 196 Å³/cell. The calculation puts the total energy at -4.464 eV per atom. The total magnetization is 0.000 μB per atom. The density of states at the Fermi level is 10.7 states/eV per cell.

Cell: 2.8899 2.8899 27.1085 Å, 90.00 90.00 120.00°
Space group R-3m (No. 166, hexagonal axes)
Symmetry-distinct sites (fractional):
Sc: 0.0000 0.0000 0.0000 (multiplicity 3)
Zn: 0.0000 0.0000 0.2429 (multiplicity 6)
Ru: 0.0000 0.0000 0.5000 (multiplicity 3)

***

2.
An optimized crystal structure of PuIn2Hg4, computed with PBE.

Calculated values
The volume is 555 Å³/cell. The calculation puts the total energy at -3.091 eV per atom. The total magnetization is 0.808 μB per atom. The density of states at the Fermi level is 49.9 states/eV per cell.

Cell: 5.0932 5.0932 24.7126 Å, 90.00 90.00 120.00°
Space group R-3m (No. 166, hexagonal axes)
Symmetry-distinct sites (fractional):
Pu: 0.0000 0.0000 0.0000 (multiplicity 3)
In: 0.0000 0.0000 0.2546 (multiplicity 6)
Hg: 0.0000 0.0000 0.1343 (multiplicity 6)
Hg: 0.0000 0.0000 0.3885 (multiplicity 6)

***

3.
An optimized crystal structure of Pm2Pr3Se6, computed with PBE.

Calculated values
Its uncorrected formation energy is -1822 meV per atom. The volume is 985 Å³/cell. The total magnetization is 0.000 μB per atom. The density of states at the Fermi level is 14.5 states/eV per cell.

Cell: 4.2744 4.2744 62.2607 Å, 90.00 90.00 120.00°
Space group R-3m (No. 166, hexagonal axes)
Symmetry-distinct sites (fractional):
Pm: 0.0000 0.0000 0.0521 (multiplicity 6)
Pr: 0.0000 0.0000 0.2217 (multiplicity 6)
Pr: 0.0000 0.0000 0.5000 (multiplicity 3)
Se: 0.0000 0.0000 0.1388 (multiplicity 6)
Se: 0.0000 0.0000 0.3036 (multiplicity 6)
Se: 0.0000 0.0000 0.4159 (multiplicity 6)

***

4.
An optimized crystal structure of Pr6Sm5, computed with PBE.

Calculated values
The volume is 786 Å³/cell. The calculation puts the total energy at -4.635 eV per atom. The total magnetization is 0.000 μB per atom. The density of states at the Fermi level is 35.8 states/eV per cell.

Cell: 10.4439 13.7146 6.2505 Å, 90.00 118.64 90.00°
Space group C2/m (No. 12)
Symmetry-distinct sites (fractional):
Pr: 0.1796 0.0000 0.0659 (multiplicity 4)
Pr: 0.1828 0.1354 0.5908 (multiplicity 8)
Sm: 0.0000 0.2354 0.0000 (multiplicity 4)
Sm: 0.0000 0.3691 0.5000 (multiplicity 4)
Sm: 0.0000 0.5000 0.0000 (multiplicity 2)

***

5.
An optimized crystal structure of ReNi2BiP, computed with PBE.

Calculated values
The volume is 98 Å³/cell. The calculation puts the total energy at -5.936 eV per atom. The total magnetization is 0.000 μB per atom. The density of states at the Fermi level is 4.2 states/eV per cell.

Cell: 4.6879 4.6879 4.4626 Å, 90.00 90.00 90.00°
Space group P4/mmm (No. 123)
Symmetry-distinct sites (fractional):
Re: 0.0000 0.0000 0.0000 (multiplicity 1)
Ni: 0.0000 0.5000 0.0000 (multiplicity 2)
Bi: 0.5000 0.5000 0.5000 (multiplicity 1)
P: 0.0000 0.0000 0.5000 (multiplicity 1)

***

6.
An optimized crystal structure of MgAlSn2, computed with PBE.

Calculated values
The volume is 289 Å³/cell. The calculation puts the total energy at -3.304 eV per atom. The total magnetization is 0.000 μB per atom. The density of states at the Fermi level is 3.3 states/eV per cell.

Cell: 3.5595 3.5595 26.3364 Å, 90.00 90.00 120.00°
Space group R-3m (No. 166, hexagonal axes)
Symmetry-distinct sites (fractional):
Mg: 0.0000 0.0000 0.0000 (multiplicity 3)
Al: 0.0000 0.0000 0.5000 (multiplicity 3)
Sn: 0.0000 0.0000 0.2456 (multiplicity 6)

***

7.
An optimized crystal structure of SmPtF, computed with PBE.

Calculated values
Its uncorrected formation energy is -2310 meV per atom. The volume is 108 Å³/cell. The total magnetization is 0.000 μB per atom.

Cell: 3.7178 3.8257 7.6056 Å, 90.00 95.50 90.00°
Space group P2_1/m (No. 11)
Symmetry-distinct sites (fractional):
Sm: 0.2093 0.2500 0.2874 (multiplicity 2)
Pt: 0.3069 0.2500 0.8957 (multiplicity 2)
F: 0.2515 0.7500 0.5003 (multiplicity 2)

***

8.
An optimized crystal structure of InBSe2Br, computed with PBE.

Calculated values
Its uncorrected formation energy is 367 meV per atom. The volume is 104 Å³/cell. The total magnetization is 0.000 μB per atom. The density of states at the Fermi level is 3.4 states/eV per cell.

Cell: 4.5815 4.5815 4.9461 Å, 90.00 90.00 90.00°
Space group P4/mmm (No. 123)
Symmetry-distinct sites (fractional):
In: 0.0000 0.0000 0.0000 (multiplicity 1)
B: 0.5000 0.5000 0.5000 (multiplicity 1)
Se: 0.0000 0.5000 0.5000 (multiplicity 2)
Br: 0.5000 0.5000 0.0000 (multiplicity 1)